Compound: K2HfMn2O6
Source: Alexandria via LeMat-Bulk
Functional: PBE with a Hubbard U
Structure: relaxed

The structure in POSCAR format:
```
K2HfMn2O6
1.0
5.820 0.000 0.000
-2.910 5.226 0.002
0.000 -3.008 5.889
K Hf Mn O
2 1 2 6
direct
0.703 0.407 0.128
0.297 0.593 0.872
0.500 0.000 0.500
0.914 0.827 0.694
0.086 0.173 0.306
0.722 0.444 0.614
0.215 0.934 0.253
0.281 0.066 0.747
0.785 0.066 0.747
0.719 0.934 0.253
0.278 0.556 0.386
```

Output
Crystal system: monoclinic
Calculated volume in Å³/cell: 179.18
Electronic total energy in eV per atom: -7.11